(1)
First-principles (PBE) data for crystalline ScCoAg2 at its relaxed geometry, as listed in Alexandria.

Cell: 4.094 4.094 7.856 Å, 90.00 90.00 90.00°
Space group I-4m2 (No. 119)
Asymmetric unit:
Sc: 0.000 0.000 0.000 x2
Co: 0.000 0.500 0.250 x2
Ag: 0.000 0.000 0.500 x2
Ag: 0.000 0.500 0.750 x2

Its formation energy is 0.00 eV/atom.

(2)
First-principles (PBE) data for crystalline Li4Ac3Au4 at its relaxed geometry, as listed in Alexandria.

Cell: 4.174 4.429 14.895 Å, 98.49 98.01 90.00°
Space group P-1 (No. 2)
Asymmetric unit:
Li: 0.097 0.099 0.194 x2
Li: 0.250 0.750 0.500 x2
Ac: 0.353 0.351 0.706 x2
Ac: 0.500 0.000 0.000 x1
Au: 0.052 0.554 0.103 x2
Au: 0.189 0.190 0.378 x2

Its formation energy is -0.60 eV/atom. As for the energy above the most stable polymorph in this dataset: 10 meV per atom.